(1)
Ac4PmSm: optimized geometry, PBE.

Results
electronic total energy	-4.280	eV/atom
calculated formation energy	37	meV per atom
M_tot	0.000	μB per atom

Lattice parameters (Å, degrees): 5.559 16.175 5.519 90.00 90.00 90.00
Space group Cmmm (No. 65)
Symmetry-distinct sites (fractional):
Ac 0.000 0.161 0.000 x4
Ac 0.000 0.339 0.500 x4
Pm 0.000 0.000 0.500 x2
Sm 0.000 0.500 0.000 x2

---

(2)
Al5Au7: optimized geometry, PBE.

Results
electronic total energy	-3.786	eV/atom
calculated formation energy	-315	meV per atom
M_tot	0.000	μB per atom

Lattice parameters (Å, degrees): 13.368 3.388 10.856 90.00 122.47 90.00
Space group C2/m (No. 12)
Symmetry-distinct sites (fractional):
Al 0.000 0.000 0.000 x2
Al 0.147 0.000 0.476 x4
Al 0.205 0.500 0.743 x4
Au 0.000 0.500 0.500 x2
Au 0.056 0.000 0.781 x4
Au 0.148 0.500 0.284 x4
Au 0.175 0.500 0.038 x4

---

(3)
SbTe2BrN: optimized geometry, PBE.

Results
electronic total energy	-1.903	eV/atom
E_form (uncorrected)	2.178	eV per atom
M_tot	0.000	μB per atom

Lattice parameters (Å, degrees): 5.501 5.501 5.597 90.00 90.00 90.00
Space group P4/mmm (No. 123)
Symmetry-distinct sites (fractional):
Sb 0.000 0.000 0.000 x1
Te 0.000 0.500 0.500 x2
Br 0.000 0.000 0.500 x1
N 0.500 0.500 0.000 x1

---

(4)
MnBeSi2: optimized geometry, PBE.

Results
electronic total energy	-6.030	eV/atom
E_form (uncorrected)	-0.095	eV per atom
M_tot	0.000	μB per atom

Lattice parameters (Å, degrees): 2.949 2.949 4.937 90.00 90.00 90.00
Space group P4/mmm (No. 123)
Symmetry-distinct sites (fractional):
Mn 0.000 0.000 0.000 x1
Be 0.000 0.000 0.500 x1
Si 0.500 0.500 0.256 x2

---

What is the electronic total energy in the first record? -4.280 eV/atom

---

Which of these has the highest electronic total energy? SbTe2BrN